# 1
VASP calculation (PBE) on crystalline CrRu2Br at its relaxed geometry.

Formation energy (no corrections): 4.143 eV/f.u.
VASP energy: -25.71 eV per cell
Space-group type: No. 225

The structure in extended XYZ format:
```
4
Lattice="0.000 3.086 3.086 3.086 0.000 3.086 3.086 3.086 0.000" Properties=species:S:1:pos:R:3 pbc="T T T"
Cr 0.000 0.000 0.000
Ru 1.543 1.543 1.543
Ru 4.630 4.630 4.630
Br 3.086 3.086 3.086
```

***

# 2
VASP calculation (PBE) on crystalline BaNiN at its relaxed geometry.

Formation energy (no corrections): -0.235 eV/f.u.
VASP energy: -32.53 eV per cell
Space-group type: No. 1

The structure in extended XYZ format:
```
6
Lattice="4.687 0.000 0.000 -0.904 4.927 0.000 -1.519 -1.182 5.407" Properties=species:S:1:pos:R:3 pbc="T T T"
Ba 0.000 0.000 0.000
Ba 0.190 1.409 3.547
Ni 1.440 4.263 2.145
Ni 2.517 1.927 1.646
N -0.308 3.869 2.542
N 3.141 3.552 2.357
```

***

# 3
VASP calculation (PBE) on crystalline YZn2Rh at its relaxed geometry.

Calculated formation energy: -0.24 eV/atom
VASP energy: -17.32 eV per cell
Space-group type: No. 65

The structure in extended XYZ format:
```
4
Lattice="2.723 -3.998 0.000 2.723 3.998 0.000 0.000 0.000 3.301" Properties=species:S:1:pos:R:3 pbc="T T T"
Y 0.000 0.000 0.000
Zn 1.361 1.999 1.650
Zn 1.361 -1.999 1.650
Rh 2.723 0.000 0.000
```

***

Question: Which of these has the highest VASP energy?
Answer: YZn2Rh

***

Question: Look up the VASP energy of the third one.
Answer: -17.32 eV per cell

***

Question: Which of these has the highest VASP energy?
Answer: YZn2Rh

***

Question: What is the formula in the second record?
Answer: BaNiN